Record 1
## ZnCu2IrPt (PBE)

Data for a geometry-optimized ZnCu2IrPt structure.

a = 4.676 Å, b = 4.676 Å, c = 4.816 Å
α = 90.00°, β = 90.00°, γ = 90.00°
Space group P4/mmm (No. 123)
Unique sites:
Zn 0.000 0.000 0.000 x1
Cu 0.000 0.500 0.500 x2
Ir 0.500 0.500 0.500 x1
Pt 0.500 0.500 0.000 x1

Computed properties:
Size of the total moment = 0.00 μB/cell
D(E_F) = 0.94 states/eV/atom
Total DFT energy (no corrections) = -19.14 eV per cell
DFT formation energy = 1.046 eV per atom

***

Record 2
## Pu2CuIr (PBE)

Data for a geometry-optimized Pu2CuIr structure.

a = 4.705 Å, b = 4.705 Å, c = 3.660 Å
α = 90.00°, β = 90.00°, γ = 90.00°
Space group P4/mmm (No. 123)
Unique sites:
Pu 0.000 0.500 0.000 x2
Cu 0.000 0.000 0.500 x1
Ir 0.500 0.500 0.500 x1

Computed properties:
Size of the total moment = 10.74 μB/cell
D(E_F) = 3.44 states/eV/atom
Total DFT energy (no corrections) = -42.38 eV per cell
DFT formation energy = -0.189 eV per atom

***

Which formula does entry 2 have?
Pu2CuIr

***

Look up the total DFT energy (no corrections) of the first one.
-19.14 eV per cell